Computed, not measured: a relaxed CrCo2Hg crystal at the GGA-PBEsol level of DFT.

As for the uncorrected energy: -6.03 eV per atom. The calculation puts the formation energy from the elements at 0.541 eV/atom.

The space group is R3m (No. 160, hexagonal axes) and the conventional cell measures 2.6765, 2.6765 and 25.4732 Å, with angles of 90.00, 90.00 and 120.00 degrees. Symmetry generates all atoms from Cr at (0.0000, 0.0000, 0.0000), Co at (0.0000, 0.0000, 0.4796), Co at (0.0000, 0.0000, 0.7395) and Hg at (0.0000, 0.0000, 0.2378).